(1)
Below is an optimized crystal structure of RbErBi2, with properties calculated at the PBE level.

CIF file:
```
data_RbErBi2
_symmetry_space_group_name_H-M 'P 1'
_symmetry_Int_Tables_number 1
_symmetry_space_group_name_Hall 'P 1'
_cell_length_a 4.841
_cell_length_b 4.841
_cell_length_c 8.585
_cell_angle_alpha 73.62
_cell_angle_beta 73.62
_cell_angle_gamma 60.00
loop_
_atom_site_label
_atom_site_type_symbol
_atom_site_fract_x
_atom_site_fract_y
_atom_site_fract_z
Bi1 Bi 0.275 0.275 0.176
Bi2 Bi 0.725 0.725 0.824
Rb1 Rb 0.500 0.500 0.500
Er1 Er 0.000 0.000 0.000
```

Calculated values
- ΔE_f: -0.3537 eV per atom
- Space-group type: R-3m, No. 166
- Mass density: 6.76 g cm⁻³
- Calculated total energy: -3.677 eV per atom


(2)
Below is an optimized crystal structure of RbErBi, with properties calculated at the PBE level.

CIF file:
```
data_RbErBi
_symmetry_space_group_name_H-M 'P 1'
_symmetry_Int_Tables_number 1
_symmetry_space_group_name_Hall 'P 1'
_cell_length_a 4.298
_cell_length_b 4.298
_cell_length_c 7.817
_cell_angle_alpha 105.96
_cell_angle_beta 105.96
_cell_angle_gamma 90.00
loop_
_atom_site_label
_atom_site_type_symbol
_atom_site_fract_x
_atom_site_fract_y
_atom_site_fract_z
Bi1 Bi 0.725 0.725 0.450
Rb1 Rb 0.004 0.004 0.008
Er1 Er 0.271 0.271 0.542
```

Calculated values
- ΔE_f: -0.2559 eV per atom
- Space-group type: I4mm, No. 107
- Mass density: 5.76 g cm⁻³
- Calculated total energy: -3.393 eV per atom


(3)
Below is an optimized crystal structure of RbErBi2, with properties calculated at the PBE level.

CIF file:
```
data_RbErBi2
_symmetry_space_group_name_H-M 'P 1'
_symmetry_Int_Tables_number 1
_symmetry_space_group_name_Hall 'P 1'
_cell_length_a 4.511
_cell_length_b 4.511
_cell_length_c 9.432
_cell_angle_alpha 76.16
_cell_angle_beta 76.16
_cell_angle_gamma 60.00
loop_
_atom_site_label
_atom_site_type_symbol
_atom_site_fract_x
_atom_site_fract_y
_atom_site_fract_z
Rb1 Rb 0.499 0.499 0.504
Er1 Er 0.667 0.667 0.998
Bi1 Bi 0.065 0.065 0.806
Bi2 Bi 0.269 0.269 0.192
```

Calculated values
- ΔE_f: -0.3333 eV per atom
- Space-group type: R3m, No. 160
- Mass density: 6.97 g cm⁻³
- Calculated total energy: -3.656 eV per atom


(4)
Below is an optimized crystal structure of RbErBi2, with properties calculated at the PBE level.

CIF file:
```
data_RbErBi2
_symmetry_space_group_name_H-M 'P 1'
_symmetry_Int_Tables_number 1
_symmetry_space_group_name_Hall 'P 1'
_cell_length_a 3.712
_cell_length_b 3.712
_cell_length_c 9.871
_cell_angle_alpha 90.00
_cell_angle_beta 90.00
_cell_angle_gamma 90.00
loop_
_atom_site_label
_atom_site_type_symbol
_atom_site_fract_x
_atom_site_fract_y
_atom_site_fract_z
Bi1 Bi 0.000 0.000 0.788
Bi2 Bi 0.000 0.000 0.212
Rb1 Rb 0.500 0.500 0.500
Er1 Er 0.500 0.500 0.000
```

Calculated values
- ΔE_f: -0.4809 eV per atom
- Space-group type: P4/mmm, No. 123
- Mass density: 8.19 g cm⁻³
- Calculated total energy: -3.804 eV per atom


(5)
Below is an optimized crystal structure of Rb3Er3BiS8, with properties calculated at the PBE level.

CIF file:
```
data_Rb3Er3BiS8
_symmetry_space_group_name_H-M 'P 1'
_symmetry_Int_Tables_number 1
_symmetry_space_group_name_Hall 'P 1'
_cell_length_a 8.024
_cell_length_b 8.024
_cell_length_c 9.095
_cell_angle_alpha 116.19
_cell_angle_beta 90.00
_cell_angle_gamma 120.00
loop_
_atom_site_label
_atom_site_type_symbol
_atom_site_fract_x
_atom_site_fract_y
_atom_site_fract_z
Rb1 Rb 0.000 0.000 0.000
Rb2 Rb 0.000 0.500 0.000
Rb3 Rb 0.500 0.500 0.000
Er1 Er 0.500 0.000 0.500
Er2 Er 0.500 0.500 0.500
Er3 Er 0.000 0.500 0.500
Bi1 Bi 0.000 0.000 0.500
S1 S 0.271 0.541 0.312
S2 S 0.729 0.459 0.688
S3 S 0.769 0.537 0.310
S4 S 0.231 0.463 0.690
S5 S 0.769 0.041 0.310
S6 S 0.231 0.959 0.690
S7 S 0.273 0.041 0.310
S8 S 0.727 0.959 0.690
```

Calculated values
- Formation energy without anion corrections: -1.513 eV per atom
- Space-group type: R-3m, No. 166
- Mass density: 4.66 g cm⁻³
- Calculated total energy: -5.079 eV per atom


(6)
Below is an optimized crystal structure of Rb2ErBiS4, with properties calculated at the PBE level.

CIF file:
```
data_Rb2ErBiS4
_symmetry_space_group_name_H-M 'P 1'
_symmetry_Int_Tables_number 1
_symmetry_space_group_name_Hall 'P 1'
_cell_length_a 4.113
_cell_length_b 7.172
_cell_length_c 8.035
_cell_angle_alpha 107.03
_cell_angle_beta 90.00
_cell_angle_gamma 90.00
loop_
_atom_site_label
_atom_site_type_symbol
_atom_site_fract_x
_atom_site_fract_y
_atom_site_fract_z
Rb1 Rb 0.500 0.000 0.500
Rb2 Rb 0.000 0.500 0.500
Er1 Er 0.500 0.500 0.000
Bi1 Bi 0.000 0.000 0.000
S1 S 0.500 0.243 0.197
S2 S 0.500 0.757 0.803
S3 S 0.000 0.279 0.808
S4 S 0.000 0.721 0.192
```

Calculated values
- Formation energy without anion corrections: -1.316 eV per atom
- Space-group type: P2/m, No. 10
- Mass density: 4.95 g cm⁻³
- Calculated total energy: -4.677 eV per atom


(7)
Below is an optimized crystal structure of Rb3ErBi2Te6, with properties calculated at the PBE level.

CIF file:
```
data_Rb3ErBi2Te6
_symmetry_space_group_name_H-M 'P 1'
_symmetry_Int_Tables_number 1
_symmetry_space_group_name_Hall 'P 1'
_cell_length_a 7.959
_cell_length_b 7.959
_cell_length_c 8.962
_cell_angle_alpha 98.51
_cell_angle_beta 98.51
_cell_angle_gamma 120.00
loop_
_atom_site_label
_atom_site_type_symbol
_atom_site_fract_x
_atom_site_fract_y
_atom_site_fract_z
Rb1 Rb 0.170 0.830 0.500
Rb2 Rb 0.830 0.170 0.500
Rb3 Rb 0.500 0.500 0.500
Er1 Er 0.000 0.000 0.000
Bi1 Bi 0.334 0.666 0.000
Bi2 Bi 0.666 0.334 0.000
Te1 Te 0.934 0.607 0.800
Te2 Te 0.741 0.741 0.201
Te3 Te 0.066 0.393 0.200
Te4 Te 0.607 0.934 0.800
Te5 Te 0.259 0.259 0.799
Te6 Te 0.393 0.066 0.200
```

Calculated values
- Formation energy without anion corrections: -0.866 eV per atom
- Space-group type: C2/m, No. 12
- Mass density: 5.68 g cm⁻³
- Calculated total energy: -3.705 eV per atom


(8)
Below is an optimized crystal structure of Er8ReBi2, with properties calculated at the PBE level.

CIF file:
```
data_Er8ReBi2
_symmetry_space_group_name_H-M 'P 1'
_symmetry_Int_Tables_number 1
_symmetry_space_group_name_Hall 'P 1'
_cell_length_a 5.043
_cell_length_b 6.684
_cell_length_c 10.025
_cell_angle_alpha 106.57
_cell_angle_beta 104.57
_cell_angle_gamma 90.00
loop_
_atom_site_label
_atom_site_type_symbol
_atom_site_fract_x
_atom_site_fract_y
_atom_site_fract_z
Er1 Er 0.413 0.543 0.826
Er2 Er 0.643 0.015 0.286
Er3 Er 0.783 0.670 0.566
Er4 Er 0.982 0.210 0.963
Er5 Er 0.217 0.330 0.434
Er6 Er 0.357 0.985 0.714
Er7 Er 0.587 0.457 0.174
Er8 Er 0.018 0.790 0.037
Re1 Re 0.500 0.000 0.000
Bi1 Bi 0.820 0.235 0.639
Bi2 Bi 0.180 0.765 0.361
```

Calculated values
- ΔE_f: -0.2258 eV per atom
- Space-group type: C2/m, No. 12
- Mass density: 10.32 g cm⁻³
- Calculated total energy: -5.382 eV per atom


> What is the calculated total energy in the third record?

-3.656 eV per atom